Record 1
VASP calculation (SCAN) on Na2Cd2Hg at its PBEsol-relaxed geometry.

a = 4.5795 Å, b = 7.4504 Å, c = 7.4504 Å
α = 90.00°, β = 90.00°, γ = 90.00°
Closest atoms and distances in Å follow each position.
Fractional coordinates of all 10 atoms:
1 Na 0.5000 0.1707 0.6707  6 Cd 3.07-3.24
2 Na 0.5000 0.6707 0.8293  6 Cd 3.07-3.24
3 Na 0.5000 0.8293 0.3293  6 Cd 3.07-3.24
4 Na 0.5000 0.3293 0.1707  6 Cd 3.07-3.24
5 Hg 0.0000 0.0000 0.0000  4 Cd 2.90
6 Hg 0.0000 0.5000 0.5000  4 Cd 2.90
7 Cd 0.0000 0.3653 0.8653  1 Cd 2.84, 2 Hg 2.90, 2 Na 3.07
8 Cd 0.0000 0.8653 0.6347  1 Cd 2.84, 2 Hg 2.90, 2 Na 3.07
9 Cd 0.0000 0.6347 0.1347  1 Cd 2.84, 2 Hg 2.90, 2 Na 3.07
10 Cd 0.0000 0.1347 0.3653  1 Cd 2.84, 2 Hg 2.90, 2 Na 3.07

## Properties
Its total energy is -27.618 eV per atom. The polymorph energy (0 for the lowest one) comes out at 0.0000 eV/atom. The value obtained for the energy of formation from the pure elements is -0.133 eV per atom. For the total magnetic moment, the calculation gives 0.0 μB/cell. As for the symmetry: P4/mbm, No. 127.

=====

Record 2
VASP calculation (SCAN) on CoPW2 at its PBEsol-relaxed geometry.

a = 3.1325 Å, b = 3.1325 Å, c = 5.4286 Å
α = 90.00°, β = 90.00°, γ = 90.00°
Closest atoms and distances in Å follow each position.
Fractional coordinates of all 4 atoms:
1 Co 0.0000 0.0000 0.4904  5 W 2.46-2.60, 4 P 2.62
2 P 0.5000 0.5000 0.7486  5 W 2.48-2.52, 4 Co 2.62
3 W 0.0000 0.0000 0.9693  4 P 2.52, 1 Co 2.60
4 W 0.5000 0.5000 0.2916  4 Co 2.46, 1 P 2.48

## Properties
Its total energy is -41.648 eV per atom. The value obtained for the energy of formation from the pure elements is 0.122 eV per atom. For the total magnetic moment, the calculation gives 0.0 μB/cell. As for the symmetry: P4mm, No. 99.

=====

Record 3
VASP calculation (SCAN) on NaGeIr3 at its PBEsol-relaxed geometry.

a = 4.4166 Å, b = 4.4166 Å, c = 4.4166 Å
α = 90.00°, β = 90.00°, γ = 90.00°
Closest atoms and distances in Å follow each position.
Fractional coordinates of all 5 atoms:
1 Na 0.0000 0.0000 0.0000  6 Ir 2.21
2 Ge 0.5000 0.5000 0.5000  12 Ir 3.12
3 Ir 0.0000 0.5000 0.0000  2 Na 2.21
4 Ir 0.0000 0.0000 0.5000  2 Na 2.21
5 Ir 0.5000 0.0000 0.0000  2 Na 2.21

## Properties
Its total energy is -44.908 eV per atom. The value obtained for the energy of formation from the pure elements is 2.412 eV per atom. For the total magnetic moment, the calculation gives 0.0 μB/cell. As for the symmetry: Pm-3m, No. 221.

=====

Record 4
VASP calculation (SCAN) on SrTlCd at its PBEsol-relaxed geometry.

a = 3.8530 Å, b = 3.8530 Å, c = 6.4552 Å
α = 107.36°, β = 107.36°, γ = 90.00°
Closest atoms and distances in Å follow each position.
Fractional coordinates of all 3 atoms:
1 Sr 0.3364 0.3364 0.6729  5 Cd 3.43-3.78, 5 Tl 3.49-3.67
2 Tl 0.6497 0.6497 0.2994  4 Cd 3.15, 4 Sr 3.49
3 Cd 0.0138 0.0138 0.0277  4 Tl 3.15, 4 Sr 3.43

## Properties
Its total energy is -42.035 eV per atom. The value obtained for the energy of formation from the pure elements is -0.352 eV per atom. For the total magnetic moment, the calculation gives 0.0 μB/cell. As for the symmetry: I4mm, No. 107.

=====

Record 5
VASP calculation (SCAN) on Ti2CrBrN at its PBEsol-relaxed geometry.

a = 3.6220 Å, b = 4.3106 Å, c = 4.3106 Å
α = 90.00°, β = 90.00°, γ = 90.00°
Closest atoms and distances in Å follow each position.
Fractional coordinates of all 5 atoms:
1 Cr 0.5000 0.0000 0.0000  2 N 1.81
2 N 0.0000 0.0000 0.0000  2 Cr 1.81
3 Br 0.5000 0.5000 0.5000  8 Ti 2.82, 4 Cr 3.05
4 Ti 0.0000 0.0000 0.5000  2 N 2.16
5 Ti 0.0000 0.5000 0.0000  2 N 2.16

## Properties
Its total energy is -16.128 eV per atom. The uncorrected formation energy is -1.444 eV/f.u. For the total magnetic moment, the calculation gives 0.5 μB/cell. As for the symmetry: P4/mmm, No. 123.

=====

Record 6
VASP calculation (SCAN) on Li2CoRh at its PBEsol-relaxed geometry.

a = 2.6533 Å, b = 4.1992 Å, c = 4.9773 Å
α = 114.95°, β = 105.46°, γ = 90.00°
Closest atoms and distances in Å follow each position.
Fractional coordinates of all 4 atoms:
1 Rh 0.5000 0.0000 0.0000  4 Co 2.48, 4 Li 2.57, 2 Rh 2.65
2 Co 0.0000 0.5000 0.0000  4 Rh 2.48, 4 Li 2.50, 2 Co 2.65
3 Li 0.7453 0.7453 0.4906  6 Li 2.48-2.65, 2 Co 2.50, 2 Rh 2.57
4 Li 0.2547 0.2547 0.5094  6 Li 2.48-2.65, 2 Co 2.50, 2 Rh 2.57

## Properties
Its total energy is -14.054 eV per atom. The polymorph energy (0 for the lowest one) comes out at 0.0000 eV/atom. The value obtained for the energy of formation from the pure elements is -0.090 eV per atom. For the total magnetic moment, the calculation gives 2.1 μB/cell. As for the symmetry: Immm, No. 71.